# 1
# PPd PBE relaxed
# - DFT formation energy: -0.59 eV per formula unit
# - Magnetization: 0.000 μB per formula unit
# - Calculated volume: 17.43 Å³/atom
# - Calculated density: 6.55 g/cm3
data_PPd
_space_group_name_H-M_alt 'C m m m'
_space_group_IT_number 65
_space_group_name_Hall '-C 2 2'
_cell_length_a 5.706
_cell_length_b 6.535
_cell_length_c 3.739
_cell_angle_alpha 90.00
_cell_angle_beta 90.00
_cell_angle_gamma 90.00
loop_
_atom_site_label
_atom_site_fract_x
_atom_site_fract_y
_atom_site_fract_z
P1 0.000 0.163 0.000
Pd1 0.250 0.250 0.500


# 2
# PPd PBE relaxed
# - DFT formation energy: -0.17 eV per formula unit
# - Magnetization: 0.000 μB per formula unit
# - Calculated volume: 19.49 Å³/atom
# - Calculated density: 5.85 g/cm3
data_PPd
_space_group_name_H-M_alt 'F -4 3 m'
_space_group_IT_number 216
_space_group_name_Hall 'F -4 2 3'
_cell_length_a 5.382
_cell_length_b 5.382
_cell_length_c 5.382
_cell_angle_alpha 90.00
_cell_angle_beta 90.00
_cell_angle_gamma 90.00
loop_
_atom_site_label
_atom_site_fract_x
_atom_site_fract_y
_atom_site_fract_z
P1 0.000 0.000 0.000
Pd1 0.250 0.250 0.750


# 3
# PPd PBE relaxed
# - DFT formation energy: -0.48 eV per formula unit
# - Magnetization: 0.000 μB per formula unit
# - Calculated volume: 16.81 Å³/atom
# - Calculated density: 6.79 g/cm3
data_PPd
_space_group_name_H-M_alt 'C 1 2 1'
_space_group_IT_number 5
_cell_length_a 4.524
_cell_length_b 6.772
_cell_length_c 4.474
_cell_angle_alpha 90.00
_cell_angle_beta 101.10
_cell_angle_gamma 90.00
loop_
_space_group_symop_operation_xyz
'x,y,z'
'-x,y,-z'
'x+1/2,y+1/2,z'
'-x+1/2,y+1/2,-z'
loop_
_atom_site_label
_atom_site_fract_x
_atom_site_fract_y
_atom_site_fract_z
P1 0.189 0.000 0.201
Pd1 0.200 0.645 0.290


# 4
# PPd3 PBE relaxed
# - DFT formation energy: -1.88 eV per formula unit
# - Magnetization: 0.000 μB per formula unit
# - Excess energy over the best structure of this formula in the dataset: 0.000 eV per atom
# - Calculated volume: 14.97 Å³/atom
# - Calculated density: 9.72 g/cm3
data_PPd3
_space_group_name_H-M_alt 'P n m a'
_space_group_IT_number 62
_cell_length_a 5.971
_cell_length_b 7.583
_cell_length_c 5.289
_cell_angle_alpha 90.00
_cell_angle_beta 90.00
_cell_angle_gamma 90.00
loop_
_space_group_symop_operation_xyz
'x,y,z'
'-x,-y,-z'
'-x+1/2,-y,z+1/2'
'x+1/2,y,-z+1/2'
'x+1/2,-y+1/2,-z+1/2'
'-x+1/2,y+1/2,z+1/2'
'-x,y+1/2,-z'
'x,-y+1/2,z'
loop_
_atom_site_label
_atom_site_fract_x
_atom_site_fract_y
_atom_site_fract_z
P1 0.119 0.250 0.042
Pd1 0.025 0.750 0.368
Pd2 0.175 0.563 0.835


# 5
# PPd PBE relaxed
# - DFT formation energy: -0.23 eV per formula unit
# - Magnetization: 0.000 μB per formula unit
# - Calculated volume: 14.82 Å³/atom
# - Calculated density: 7.69 g/cm3
data_PPd
_space_group_name_H-M_alt 'C 1 2/m 1'
_space_group_IT_number 12
_cell_length_a 5.180
_cell_length_b 3.044
_cell_length_c 4.136
_cell_angle_alpha 90.00
_cell_angle_beta 114.59
_cell_angle_gamma 90.00
loop_
_space_group_symop_operation_xyz
'x,y,z'
'-x,-y,-z'
'-x,y,-z'
'x,-y,z'
'x+1/2,y+1/2,z'
'-x+1/2,-y+1/2,-z'
'-x+1/2,y+1/2,-z'
'x+1/2,-y+1/2,z'
loop_
_atom_site_label
_atom_site_fract_x
_atom_site_fract_y
_atom_site_fract_z
P1 0.000 0.000 0.000
Pd1 0.000 0.500 0.500


# 6
# PPd PBE relaxed
# - DFT formation energy: -0.22 eV per formula unit
# - Magnetization: 0.000 μB per formula unit
# - Calculated volume: 21.69 Å³/atom
# - Calculated density: 5.26 g/cm3
data_PPd
_space_group_name_H-M_alt 'P 63/m'
_space_group_IT_number 176
_space_group_name_Hall '-P 6c'
_cell_length_a 8.6373
_cell_length_b 8.6373
_cell_length_c 4.0284
_cell_angle_alpha 90.00
_cell_angle_beta 90.00
_cell_angle_gamma 120.00
loop_
_atom_site_label
_atom_site_fract_x
_atom_site_fract_y
_atom_site_fract_z
P1 0.0600 0.3560 0.2500
Pd1 0.0792 0.6371 0.2500